CoP2O2: optimized geometry, GGA+U.

Cell: 3.477 3.477 5.926 Å, 90.00 90.00 90.00°
Positions (direct):
Co (0.000, 0.000, 0.000)
P (0.000, 0.000, 0.500)
P (0.500, 0.500, 0.500)
O (0.000, 0.500, 0.000)
O (0.500, 0.000, 0.000)

relative energy among the computed polymorphs	520	meV per atom
volume	71.65	Å³/f.u.
spin magnetization	2.668	μB per formula unit